#one
# KPb2Br, optimized geometry, DFT GGA-PBE
data_KPb2Br
_space_group_name_H-M_alt 'P 1'
_space_group_IT_number 1
_space_group_name_Hall 'P 1'
_cell_length_a 4.483
_cell_length_b 4.483
_cell_length_c 7.918
_cell_angle_alpha 90.00
_cell_angle_beta 90.00
_cell_angle_gamma 90.00
loop_
_atom_site_label
_atom_site_fract_x
_atom_site_fract_y
_atom_site_fract_z
K1 0.000 0.000 0.000
Pb1 0.000 0.500 0.500
Pb2 0.500 0.000 0.500
Br1 0.500 0.500 0.000
# Volume ... 159.1 Å³ per cell
# Space group ... No. 123

=====

#two
# KPb2Br, optimized geometry, DFT GGA-PBE
data_KPb2Br
_space_group_name_H-M_alt 'P 1'
_space_group_IT_number 1
_space_group_name_Hall 'P 1'
_cell_length_a 6.899
_cell_length_b 6.899
_cell_length_c 3.513
_cell_angle_alpha 90.00
_cell_angle_beta 90.00
_cell_angle_gamma 124.70
loop_
_atom_site_label
_atom_site_fract_x
_atom_site_fract_y
_atom_site_fract_z
K1 0.000 0.000 0.000
Pb1 0.000 0.500 0.500
Pb2 0.500 0.000 0.500
Br1 0.500 0.500 0.000
# Volume ... 137.5 Å³ per cell
# Space group ... No. 65

=====

Stability verdict: #one, ahead by 256 meV/atom

=====

#one
# KPb2Br, optimized geometry, DFT GGA-PBE
data_KPb2Br
_space_group_name_H-M_alt 'P 1'
_space_group_IT_number 1
_space_group_name_Hall 'P 1'
_cell_length_a 3.628
_cell_length_b 3.628
_cell_length_c 10.422
_cell_angle_alpha 90.00
_cell_angle_beta 90.00
_cell_angle_gamma 90.00
loop_
_atom_site_label
_atom_site_fract_x
_atom_site_fract_y
_atom_site_fract_z
K1 0.000 0.000 0.000
Pb1 0.500 0.500 0.284
Pb2 0.500 0.500 0.716
Br1 0.000 0.000 0.500
# Volume ... 137.2 Å³ per cell
# Space group ... No. 123

=====

#two
# KPb2Br, optimized geometry, DFT GGA-PBE
data_KPb2Br
_space_group_name_H-M_alt 'P 1'
_space_group_IT_number 1
_space_group_name_Hall 'P 1'
_cell_length_a 7.058
_cell_length_b 7.058
_cell_length_c 7.058
_cell_angle_alpha 150.84
_cell_angle_beta 123.69
_cell_angle_gamma 64.67
loop_
_atom_site_label
_atom_site_fract_x
_atom_site_fract_y
_atom_site_fract_z
K1 0.000 0.000 0.000
Pb1 0.291 0.791 0.500
Pb2 0.522 0.522 0.000
Br1 0.782 0.282 0.500
# Volume ... 141.2 Å³ per cell
# Space group ... No. 44

=====

#three
# KPb2Br, optimized geometry, DFT GGA-PBE
data_KPb2Br
_space_group_name_H-M_alt 'P 1'
_space_group_IT_number 1
_space_group_name_Hall 'P 1'
_cell_length_a 3.685
_cell_length_b 3.685
_cell_length_c 11.352
_cell_angle_alpha 90.00
_cell_angle_beta 90.00
_cell_angle_gamma 113.23
loop_
_atom_site_label
_atom_site_fract_x
_atom_site_fract_y
_atom_site_fract_z
K1 0.000 0.000 0.000
Pb1 0.500 0.500 0.287
Pb2 0.500 0.500 0.713
Br1 0.000 0.000 0.500
# Volume ... 141.7 Å³ per cell
# Space group ... No. 65

=====

Stability verdict: #two, ahead by 223 meV/atom

=====

#one
# KPb2Br, optimized geometry, DFT GGA-PBE
data_KPb2Br
_space_group_name_H-M_alt 'P 1'
_space_group_IT_number 1
_space_group_name_Hall 'P 1'
_cell_length_a 11.693
_cell_length_b 11.693
_cell_length_c 11.693
_cell_angle_alpha 18.57
_cell_angle_beta 18.57
_cell_angle_gamma 18.57
loop_
_atom_site_label
_atom_site_fract_x
_atom_site_fract_y
_atom_site_fract_z
K1 0.000 0.000 0.000
Pb1 0.238 0.238 0.238
Pb2 0.762 0.762 0.762
Br1 0.500 0.500 0.500
# Volume ... 141.7 Å³ per cell
# Space group ... No. 166

=====

#two
# KPb2Br, optimized geometry, DFT GGA-PBE
data_KPb2Br
_space_group_name_H-M_alt 'P 1'
_space_group_IT_number 1
_space_group_name_Hall 'P 1'
_cell_length_a 3.778
_cell_length_b 3.778
_cell_length_c 9.484
_cell_angle_alpha 90.00
_cell_angle_beta 90.00
_cell_angle_gamma 90.00
loop_
_atom_site_label
_atom_site_fract_x
_atom_site_fract_y
_atom_site_fract_z
K1 0.000 0.000 0.000
Pb1 0.000 0.000 0.549
Pb2 0.500 0.500 0.320
Br1 0.500 0.500 0.820
# Volume ... 135.4 Å³ per cell
# Space group ... No. 99

=====

Stability verdict: #two, ahead by 482 meV/atom

=====

#one
# KPb2Br, optimized geometry, DFT GGA-PBE
data_KPb2Br
_space_group_name_H-M_alt 'P 1'
_space_group_IT_number 1
_space_group_name_Hall 'P 1'
_cell_length_a 8.565
_cell_length_b 8.565
_cell_length_c 4.800
_cell_angle_alpha 105.57
_cell_angle_beta 105.57
_cell_angle_gamma 26.78
loop_
_atom_site_label
_atom_site_fract_x
_atom_site_fract_y
_atom_site_fract_z
K1 0.000 0.000 0.000
Pb1 0.286 0.286 0.284
Pb2 0.714 0.714 0.716
Br1 0.500 0.500 0.500
# Volume ... 152.5 Å³ per cell
# Space group ... No. 12

=====

#two
# KPb2Br, optimized geometry, DFT GGA-PBE
data_KPb2Br
_space_group_name_H-M_alt 'P 1'
_space_group_IT_number 1
_space_group_name_Hall 'P 1'
_cell_length_a 16.070
_cell_length_b 16.070
_cell_length_c 16.070
_cell_angle_alpha 163.95
_cell_angle_beta 163.95
_cell_angle_gamma 22.78
loop_
_atom_site_label
_atom_site_fract_x
_atom_site_fract_y
_atom_site_fract_z
K1 0.000 0.000 0.000
K2 0.750 0.250 0.500
Pb1 0.124 0.625 0.999
Pb2 0.375 0.374 0.499
Pb3 0.626 0.125 0.001
Pb4 0.875 0.876 0.501
Br1 0.250 0.750 0.500
Br2 0.500 0.500 0.000
# Volume ... 317.2 Å³ per cell
# Space group ... No. 122

=====

Stability verdict: #one, ahead by 69 meV/atom

=====

#one
# KPb2Br, optimized geometry, DFT GGA-PBE
data_KPb2Br
_space_group_name_H-M_alt 'P 1'
_space_group_IT_number 1
_space_group_name_Hall 'P 1'
_cell_length_a 5.775
_cell_length_b 5.775
_cell_length_c 5.775
_cell_angle_alpha 60.00
_cell_angle_beta 60.00
_cell_angle_gamma 60.00
loop_
_atom_site_label
_atom_site_fract_x
_atom_site_fract_y
_atom_site_fract_z
K1 0.000 0.000 0.000
Pb1 0.250 0.250 0.250
Pb2 0.750 0.750 0.750
Br1 0.500 0.500 0.500
# Volume ... 136.2 Å³ per cell
# Space group ... No. 225

=====

#two
# KPb2Br, optimized geometry, DFT GGA-PBE
data_KPb2Br
_space_group_name_H-M_alt 'P 1'
_space_group_IT_number 1
_space_group_name_Hall 'P 1'
_cell_length_a 5.589
_cell_length_b 5.589
_cell_length_c 5.589
_cell_angle_alpha 117.02
_cell_angle_beta 117.02
_cell_angle_gamma 95.25
loop_
_atom_site_label
_atom_site_fract_x
_atom_site_fract_y
_atom_site_fract_z
K1 0.000 0.000 0.000
Pb1 0.500 0.500 0.000
Pb2 0.750 0.250 0.500
Br1 0.250 0.750 0.500
# Volume ... 128.5 Å³ per cell
# Space group ... No. 119

=====

Stability verdict: #two, ahead by 397 meV/atom

=====

#one
# K2PbBr, optimized geometry, DFT GGA-PBE
data_K2PbBr
_space_group_name_H-M_alt 'P 1'
_space_group_IT_number 1
_space_group_name_Hall 'P 1'
_cell_length_a 3.972
_cell_length_b 3.972
_cell_length_c 10.842
_cell_angle_alpha 90.00
_cell_angle_beta 90.00
_cell_angle_gamma 90.00
loop_
_atom_site_label
_atom_site_fract_x
_atom_site_fract_y
_atom_site_fract_z
K1 0.000 0.000 0.000
K2 0.500 0.500 0.427
Pb1 0.000 0.000 0.664
Br1 0.500 0.500 0.138
# Volume ... 171.0 Å³ per cell
# Space group ... No. 99

=====

#two
# K2PbBr, optimized geometry, DFT GGA-PBE
data_K2PbBr
_space_group_name_H-M_alt 'P 1'
_space_group_IT_number 1
_space_group_name_Hall 'P 1'
_cell_length_a 6.461
_cell_length_b 6.461
_cell_length_c 6.461
_cell_angle_alpha 131.68
_cell_angle_beta 131.68
_cell_angle_gamma 70.73
loop_
_atom_site_label
_atom_site_fract_x
_atom_site_fract_y
_atom_site_fract_z
K1 0.250 0.750 0.500
K2 0.750 0.250 0.500
Pb1 0.000 0.000 0.000
Br1 0.500 0.500 0.000
# Volume ... 147.4 Å³ per cell
# Space group ... No. 139

=====

#three
# K2PbBr, optimized geometry, DFT GGA-PBE
data_K2PbBr
_space_group_name_H-M_alt 'P 1'
_space_group_IT_number 1
_space_group_name_Hall 'P 1'
_cell_length_a 6.273
_cell_length_b 6.273
_cell_length_c 3.808
_cell_angle_alpha 90.00
_cell_angle_beta 90.00
_cell_angle_gamma 107.07
loop_
_atom_site_label
_atom_site_fract_x
_atom_site_fract_y
_atom_site_fract_z
K1 0.000 0.500 0.000
K2 0.500 0.000 0.000
Pb1 0.000 0.000 0.500
Br1 0.500 0.500 0.500
# Volume ... 143.2 Å³ per cell
# Space group ... No. 65

=====

Stability verdict: #one, ahead by 82 meV/atom

=====

#one
# K2PbBr, optimized geometry, DFT GGA-PBE
data_K2PbBr
_space_group_name_H-M_alt 'P 1'
_space_group_IT_number 1
_space_group_name_Hall 'P 1'
_cell_length_a 6.064
_cell_length_b 6.064
_cell_length_c 6.064
_cell_angle_alpha 60.00
_cell_angle_beta 60.00
_cell_angle_gamma 60.00
loop_
_atom_site_label
_atom_site_fract_x
_atom_site_fract_y
_atom_site_fract_z
K1 0.000 0.000 0.000
K2 0.250 0.250 0.250
Pb1 0.750 0.750 0.750
Br1 0.500 0.500 0.500
# Volume ... 157.7 Å³ per cell
# Space group ... No. 216

=====

#two
# K2PbBr, optimized geometry, DFT GGA-PBE
data_K2PbBr
_space_group_name_H-M_alt 'P 1'
_space_group_IT_number 1
_space_group_name_Hall 'P 1'
_cell_length_a 7.649
_cell_length_b 7.649
_cell_length_c 7.649
_cell_angle_alpha 142.77
_cell_angle_beta 142.77
_cell_angle_gamma 53.67
loop_
_atom_site_label
_atom_site_fract_x
_atom_site_fract_y
_atom_site_fract_z
K1 0.000 0.000 0.000
K2 0.750 0.250 0.500
Pb1 0.250 0.750 0.500
Br1 0.500 0.500 0.000
# Volume ... 162.7 Å³ per cell
# Space group ... No. 119

=====

#three
# K2PbBr, optimized geometry, DFT GGA-PBE
data_K2PbBr
_space_group_name_H-M_alt 'P 1'
_space_group_IT_number 1
_space_group_name_Hall 'P 1'
_cell_length_a 3.765
_cell_length_b 3.815
_cell_length_c 9.734
_cell_angle_alpha 90.00
_cell_angle_beta 90.00
_cell_angle_gamma 90.00
loop_
_atom_site_label
_atom_site_fract_x
_atom_site_fract_y
_atom_site_fract_z
K1 0.000 0.000 0.208
K2 0.000 0.000 0.792
Pb1 0.500 0.500 0.500
Br1 0.500 0.500 0.000
# Volume ... 139.8 Å³ per cell
# Space group ... No. 47

=====

#four
# K2PbBr, optimized geometry, DFT GGA-PBE
data_K2PbBr
_space_group_name_H-M_alt 'P 1'
_space_group_IT_number 1
_space_group_name_Hall 'P 1'
_cell_length_a 7.611
_cell_length_b 7.611
_cell_length_c 7.611
_cell_angle_alpha 104.37
_cell_angle_beta 104.37
_cell_angle_gamma 120.25
loop_
_atom_site_label
_atom_site_fract_x
_atom_site_fract_y
_atom_site_fract_z
K1 0.080 0.625 0.955
K2 0.375 0.330 0.455
K3 0.670 0.125 0.045
K4 0.875 0.920 0.545
Pb1 0.250 0.750 0.500
Pb2 0.500 0.500 0.000
Br1 0.000 0.000 0.000
Br2 0.750 0.250 0.500
# Volume ... 330.3 Å³ per cell
# Space group ... No. 122

=====

Stability verdict: #three, ahead by 270 meV/atom

=====

#one
# K2PbBr, optimized geometry, DFT GGA-PBE
data_K2PbBr
_space_group_name_H-M_alt 'P 1'
_space_group_IT_number 1
_space_group_name_Hall 'P 1'
_cell_length_a 6.982
_cell_length_b 6.982
_cell_length_c 6.982
_cell_angle_alpha 146.10
_cell_angle_beta 117.73
_cell_angle_gamma 72.82
loop_
_atom_site_label
_atom_site_fract_x
_atom_site_fract_y
_atom_site_fract_z
K1 0.213 0.213 0.000
K2 0.787 0.787 0.000
Pb1 0.500 0.000 0.500
Br1 0.000 0.500 0.500
# Volume ... 165.2 Å³ per cell
# Space group ... No. 71

=====

#two
# K2PbBr, optimized geometry, DFT GGA-PBE
data_K2PbBr
_space_group_name_H-M_alt 'P 1'
_space_group_IT_number 1
_space_group_name_Hall 'P 1'
_cell_length_a 6.130
_cell_length_b 6.130
_cell_length_c 6.130
_cell_angle_alpha 60.00
_cell_angle_beta 60.00
_cell_angle_gamma 60.00
loop_
_atom_site_label
_atom_site_fract_x
_atom_site_fract_y
_atom_site_fract_z
K1 0.250 0.250 0.250
K2 0.750 0.750 0.750
Pb1 0.000 0.000 0.000
Br1 0.500 0.500 0.500
# Volume ... 162.8 Å³ per cell
# Space group ... No. 225

=====

#three
# K2PbBr, optimized geometry, DFT GGA-PBE
data_K2PbBr
_space_group_name_H-M_alt 'P 1'
_space_group_IT_number 1
_space_group_name_Hall 'P 1'
_cell_length_a 3.862
_cell_length_b 10.117
_cell_length_c 10.117
_cell_angle_alpha 21.49
_cell_angle_beta 90.00
_cell_angle_gamma 90.00
loop_
_atom_site_label
_atom_site_fract_x
_atom_site_fract_y
_atom_site_fract_z
K1 0.000 0.000 0.000
K2 0.000 0.203 0.203
Pb1 0.500 0.360 0.360
Br1 0.500 0.604 0.604
# Volume ... 144.8 Å³ per cell
# Space group ... No. 38

=====

Stability verdict: #three, ahead by 265 meV/atom